Compound: Sr4IrBr
Source: the Alexandria database
Functional: PBE
Structure: relaxed

Results
Offset from the most stable computed form (meV/atom): 1198
E_form (uncorrected) (meV per atom): 608
Total moment (μB/cell): 0.00

Cell: 9.627 9.627 9.627 Å, 90.00 90.00 90.00°
Space group F-43m (No. 216)
Inequivalent atoms, fractional coordinates:
1 Sr 0.124 0.124 0.376 (multiplicity 16)
2 Ir 0.250 0.250 0.750 (multiplicity 4)
3 Br 0.000 0.000 0.000 (multiplicity 4)